# Ti4Cl | Alexandria via LeMat-Bulk | PBE-GGA | optimized geometry
# * size of the total moment: 0.00 μB per cell
# * formation energy without anion corrections: 0.01 eV/atom
# * E: -6.67 eV per atom
data_Ti4Cl
_chemical_formula_sum 'Ti4 Cl1'
_cell_length_a 4.4592
_cell_length_b 4.4592
_cell_length_c 4.4592
_cell_angle_alpha 90.00
_cell_angle_beta 90.00
_cell_angle_gamma 90.00
_symmetry_space_group_name_H-M 'P m -3 m'
_symmetry_Int_Tables_number 221
_symmetry_space_group_name_Hall '-P 4 2 3'
loop_
_atom_site_label
_atom_site_fract_x
_atom_site_fract_y
_atom_site_fract_z
Ti1 0.0000 0.0000 0.0000
Ti2 0.0000 0.5000 0.5000
Cl1 0.5000 0.5000 0.5000

***

# SrCePu2As4 | Alexandria via LeMat-Bulk | PBE-GGA | optimized geometry
# * size of the total moment: 10.03 μB per cell
# * ΔE_f: -1.12 eV per atom
# * E: -7.98 eV per atom
data_SrCePu2As4
_chemical_formula_sum 'Sr1 Ce1 Pu2 As4'
_cell_length_a 7.3309
_cell_length_b 4.2331
_cell_length_c 7.3413
_cell_angle_alpha 90.00
_cell_angle_beta 109.38
_cell_angle_gamma 90.00
_symmetry_space_group_name_H-M 'P 1 2/m 1'
_symmetry_Int_Tables_number 10
loop_
_symmetry_equiv_pos_as_xyz
'x,y,z'
'-x,-y,-z'
'-x,y,-z'
'x,-y,z'
loop_
_atom_site_label
_atom_site_fract_x
_atom_site_fract_y
_atom_site_fract_z
Sr1 0.0000 0.0000 0.0000
Ce1 0.0000 0.5000 0.5000
Pu1 0.5000 0.0000 0.5000
Pu2 0.5000 0.5000 0.0000
As1 0.2607 0.0000 0.7435
As2 0.2711 0.5000 0.2686

***

# KRbV2I8 | Alexandria via LeMat-Bulk | PBE-GGA | optimized geometry
# * size of the total moment: 12.00 μB per cell
# * formation energy without anion corrections: -0.75 eV/atom
# * E: -3.48 eV per atom
data_KRbV2I8
_chemical_formula_sum 'K3 Rb3 V6 I24'
_cell_length_a 7.8362
_cell_length_b 7.8362
_cell_length_c 33.0245
_cell_angle_alpha 90.00
_cell_angle_beta 90.00
_cell_angle_gamma 120.00
_symmetry_space_group_name_H-M 'R -3'
_symmetry_Int_Tables_number 148
_symmetry_space_group_name_Hall '-R 3'
loop_
_atom_site_label
_atom_site_fract_x
_atom_site_fract_y
_atom_site_fract_z
K1 0.0000 0.0000 0.0000
Rb1 0.0000 0.0000 0.5000
V1 0.0000 0.0000 0.2435
I1 0.0000 0.0000 0.1655
I2 0.0023 0.3803 0.0648

***

# Ti3ZnN | Alexandria via LeMat-Bulk | PBE-GGA | optimized geometry
# * size of the total moment: 0.00 μB per cell
# * relative energy among the computed polymorphs: 210 meV per atom
# * formation energy without anion corrections: -0.69 eV/atom
# * E: -7.35 eV per atom
data_Ti3ZnN
_chemical_formula_sum 'Ti6 Zn2 N2'
_cell_length_a 4.7548
_cell_length_b 5.6941
_cell_length_c 5.2858
_cell_angle_alpha 90.00
_cell_angle_beta 91.22
_cell_angle_gamma 90.00
_symmetry_space_group_name_H-M 'P 1 21/m 1'
_symmetry_Int_Tables_number 11
loop_
_symmetry_equiv_pos_as_xyz
'x,y,z'
'-x,-y,-z'
'-x,y+1/2,-z'
'x,-y+1/2,z'
loop_
_atom_site_label
_atom_site_fract_x
_atom_site_fract_y
_atom_site_fract_z
Ti1 0.2453 0.2500 0.3735
Ti2 0.2479 0.0048 0.8564
Zn1 0.2321 0.7500 0.3541
N1 0.4711 0.2500 0.0543